Here is an optimized crystal structure of Nb2SnPdRu from Alexandria via LeMat-Bulk. Energies are from GGA-PBE.

The structure in extended XYZ format:
```
5
Lattice="4.788 0.000 0.000 0.000 4.788 0.000 0.000 0.000 4.828" Properties=species:S:1:pos:R:3 pbc="T T T"
Nb 0.000 2.394 0.000
Nb 2.394 0.000 0.000
Sn 0.000 0.000 2.414
Pd 2.394 2.394 0.000
Ru 2.394 2.394 2.414
```

## Properties
- E_form: 1193 meV per atom
- DOS(E_F): 1.370 states/eV per atom
- V: 22.14 Å³ per atom
- Symmetry: P4/mmm

=====

Here is an optimized crystal structure of LiZr2Al from Alexandria via LeMat-Bulk. Energies are from GGA-PBE.

The structure in extended XYZ format:
```
4
Lattice="2.958 0.000 0.000 0.000 4.062 0.000 -0.014 0.000 6.500" Properties=species:S:1:pos:R:3 pbc="T T T"
Li 0.000 0.000 0.000
Zr 1.472 2.031 1.664
Zr 1.473 2.031 4.837
Al -0.007 0.000 3.250
```

## Properties
- E_form: -87 meV per atom
- DOS(E_F): 0.905 states/eV per atom
- V: 19.53 Å³ per atom
- Symmetry: P2/m

=====

Here is an optimized crystal structure of ZnTcSb from Alexandria via LeMat-Bulk. Energies are from GGA-PBE.

The structure in extended XYZ format:
```
6
Lattice="7.847 -1.521 0.000 7.847 1.521 0.000 -1.358 0.000 4.434" Properties=species:S:1:pos:R:3 pbc="T T T"
Zn 15.355 0.000 1.094
Zn -1.019 0.000 3.340
Tc 4.615 0.000 3.851
Tc 9.722 0.000 0.583
Sb 1.934 0.000 3.028
Sb 12.403 0.000 1.406
```

## Properties
- DOS(E_F): 0.834 states/eV per atom
- V: 17.64 Å³ per atom
- Symmetry: C2/m
- Formation energy from raw total energies: 279 meV per atom

=====

Here is an optimized crystal structure of RbNiIBr2 from Alexandria via LeMat-Bulk. Energies are from GGA-PBE.

The structure in extended XYZ format:
```
5
Lattice="6.471 0.000 0.000 0.000 6.471 0.000 0.000 0.000 4.653" Properties=species:S:1:pos:R:3 pbc="T T T"
Rb 0.000 0.000 0.000
Ni 3.236 3.236 0.000
I 3.236 3.236 2.327
Br 0.000 3.236 2.327
Br 3.236 0.000 2.327
```

## Properties
- DOS(E_F): 0.940 states/eV per atom
- V: 38.97 Å³ per atom
- Symmetry: P4/mmm
- Formation energy from raw total energies: -267 meV per atom

=====

Q: DOS(E_F) of number 3 (ZnTcSb)?
A: 0.834 states/eV per atom

=====

Q: Which formula does entry 2 have?
A: LiZr2Al

=====

Q: DOS(E_F) of number 3 (ZnTcSb)?
A: 0.834 states/eV per atom

=====

Q: What is the V in the first record?
A: 22.14 Å³ per atom